Entry from the Alexandria database: crystalline SrAc8 at its relaxed geometry (GGA-PBE).

Unit cell a=12.028 b=12.028 c=5.710 alpha=90.00 beta=90.00 gamma=90.00
Space group I4/mmm (No. 139)
Asymmetric unit:
Sr: 0.000 0.000 0.000 (multiplicity 2)
Ac: 0.000 0.337 0.000 (multiplicity 8)
Ac: 0.172 0.172 0.500 (multiplicity 8)

- N(E_F): 33.79 states/eV per cell
- E: -3.81 eV per atom